1.
LuPaZnPb after structural relaxation. Source: the Alexandria database, functional PBE-GGA.

Summary:
Crystal system ... cubic
VASP energy ... -18.9 eV/cell
D(E_F) ... 8.2 states/eV/f.u.
Theoretical density ... 11.3 Mg/m³

abc: 5.208 5.208 5.208
angles: 60.00 60.00 60.00
Sites, in units of the cell vectors:
1 Pb 0.500 0.500 0.500
2 Zn 0.000 0.000 0.000
3 Pa 0.250 0.250 0.250
4 Lu 0.750 0.750 0.750

=====

2.
Lu2PaPd after structural relaxation. Source: the Alexandria database, functional PBE-GGA.

Summary:
Crystal system ... tetragonal
VASP energy ... -25.2 eV/cell
D(E_F) ... 5.6 states/eV/f.u.
Theoretical density ... 12.1 Mg/m³

abc: 3.396 3.396 8.177
angles: 90.00 90.00 90.00
Sites, in units of the cell vectors:
1 Pa 0.500 0.500 0.500
2 Lu 0.000 0.000 0.791
3 Lu 0.000 0.000 0.209
4 Pd 0.500 0.500 0.000

=====

3.
LuPaPd4 after structural relaxation. Source: the Alexandria database, functional PBE-GGA.

Summary:
Crystal system ... cubic
VASP energy ... -38.6 eV/cell
D(E_F) ... 5.7 states/eV/f.u.
Theoretical density ... 12.3 Mg/m³

abc: 5.415 5.415 5.415
angles: 60.00 60.00 60.00
Sites, in units of the cell vectors:
1 Pa 0.250 0.250 0.250
2 Lu 0.000 0.000 0.000
3 Pd 0.625 0.625 0.124
4 Pd 0.625 0.124 0.625
5 Pd 0.625 0.625 0.625
6 Pd 0.124 0.625 0.625

=====

4.
LuPaRePd after structural relaxation. Source: the Alexandria database, functional PBE-GGA.

Summary:
Crystal system ... cubic
VASP energy ... -32.9 eV/cell
D(E_F) ... 3.9 states/eV/f.u.
Theoretical density ... 14.2 Mg/m³

abc: 4.872 4.872 4.872
angles: 60.00 60.00 60.00
Sites, in units of the cell vectors:
1 Re 0.000 0.000 0.000
2 Pa 0.250 0.250 0.250
3 Lu 0.750 0.750 0.750
4 Pd 0.500 0.500 0.500

=====

5.
LuPaTcPd after structural relaxation. Source: the Alexandria database, functional PBE-GGA.

Summary:
Crystal system ... cubic
VASP energy ... -31.2 eV/cell
D(E_F) ... 4.0 states/eV/f.u.
Theoretical density ... 12.4 Mg/m³

abc: 4.865 4.865 4.865
angles: 60.00 60.00 60.00
Sites, in units of the cell vectors:
1 Pa 0.250 0.250 0.250
2 Lu 0.750 0.750 0.750
3 Tc 0.500 0.500 0.500
4 Pd 0.000 0.000 0.000

=====

6.
LuPaTlPd after structural relaxation. Source: the Alexandria database, functional PBE-GGA.

Summary:
Crystal system ... cubic
VASP energy ... -22.2 eV/cell
D(E_F) ... 7.1 states/eV/f.u.
Theoretical density ... 12.3 Mg/m³

abc: 5.147 5.147 5.147
angles: 60.00 60.00 60.00
Sites, in units of the cell vectors:
1 Tl 0.000 0.000 0.000
2 Pa 0.250 0.250 0.250
3 Lu 0.750 0.750 0.750
4 Pd 0.500 0.500 0.500